AcGa6: relaxed, GGA-PBE.

- Energy of formation: -0.322 eV per atom
- DOS(E_F): 5.28 states/eV/cell

a b c (Å): 6.220 6.220 7.888
angles (deg): 90.00 90.00 90.00
Fractional positions:
Ac1 0.500 0.000 0.000
Ac2 0.000 0.500 0.000
Ga1 0.500 0.500 0.167
Ga2 0.000 0.000 0.167
Ga3 0.000 0.000 0.833
Ga4 0.500 0.500 0.833
Ga5 0.800 0.700 0.351
Ga6 0.300 0.800 0.351
Ga7 0.700 0.200 0.351
Ga8 0.200 0.300 0.351
Ga9 0.700 0.800 0.649
Ga10 0.200 0.700 0.649
Ga11 0.800 0.300 0.649
Ga12 0.300 0.200 0.649


K3TmTa2O9: relaxed, GGA-PBE.

- Energy relative to the elements, uncorrected: -239.0 kJ per mole of atoms
- DOS(E_F): 7.88 states/eV/cell

a b c (Å): 5.886 5.886 7.235
angles (deg): 90.00 90.00 120.00
Fractional positions:
K1 0.333 0.667 0.667
K2 0.000 0.000 0.000
K3 0.667 0.333 0.333
Tm1 0.000 0.000 0.500
Ta1 0.333 0.667 0.167
Ta2 0.667 0.333 0.833
O1 0.825 0.175 0.683
O2 0.825 0.650 0.683
O3 0.350 0.175 0.683
O4 0.650 0.825 0.317
O5 0.175 0.350 0.317
O6 0.175 0.825 0.317
O7 0.500 0.000 0.000
O8 0.000 0.500 0.000
O9 0.500 0.500 0.000


CaMn2Fe: relaxed, GGA-PBE.

- Energy of formation: 0.710 eV per atom
- DOS(E_F): 7.55 states/eV/cell

a b c (Å): 4.588 4.588 4.588
angles (deg): 60.00 60.00 60.00
Fractional positions:
Ca1 0.500 0.500 0.500
Mn1 0.000 0.000 0.000
Mn2 0.250 0.250 0.250
Fe1 0.750 0.750 0.750


BaTeIr2: relaxed, GGA-PBE.

- Energy relative to the elements, uncorrected: 46.8 kJ per mole of atoms
- DOS(E_F): 3.28 states/eV/cell

a b c (Å): 5.499 5.499 5.499
angles (deg): 137.42 119.02 77.21
Fractional positions:
Ba1 0.250 0.750 0.500
Ir1 0.956 0.956 0.000
Ir2 0.544 0.544 0.000
Te1 0.750 0.250 0.500


Nd2Mg3Hg: relaxed, GGA-PBE.

- Energy of formation: -0.219 eV per atom
- DOS(E_F): 8.72 states/eV/cell

a b c (Å): 6.213 6.213 9.612
angles (deg): 101.04 101.04 114.06
Fractional positions:
Nd1 0.250 0.750 0.500
Nd2 0.748 0.748 0.000
Nd3 0.750 0.250 0.500
Nd4 0.252 0.252 0.000
Mg1 0.663 0.170 0.832
Mg2 0.830 0.337 0.168
Mg3 0.337 0.830 0.168
Mg4 0.170 0.663 0.832
Mg5 0.832 0.832 0.664
Mg6 0.168 0.168 0.336
Hg1 0.333 0.333 0.666
Hg2 0.667 0.667 0.334


TlMoPb: relaxed, GGA-PBE.

- Energy of formation: 0.898 eV per atom
- DOS(E_F): 3.26 states/eV/cell

a b c (Å): 4.847 4.847 4.847
angles (deg): 60.00 60.00 60.00
Fractional positions:
Mo1 0.750 0.750 0.750
Pb1 0.000 0.000 0.000
Tl1 0.500 0.500 0.500


NaGe4Rh: relaxed, GGA-PBE.

- Energy of formation: -0.142 eV per atom
- DOS(E_F): 2.04 states/eV/cell

a b c (Å): 6.739 6.617 6.192
angles (deg): 84.93 122.11 89.54
Fractional positions:
Na1 0.922 0.741 0.971
Na2 0.078 0.259 0.029
Ge1 0.633 0.073 0.935
Ge2 0.692 0.419 0.076
Ge3 0.367 0.927 0.065
Ge4 0.308 0.581 0.924
Ge5 0.838 0.864 0.432
Ge6 0.382 0.642 0.534
Ge7 0.162 0.136 0.568
Ge8 0.618 0.358 0.466
Rh1 0.500 0.000 0.500
Rh2 0.000 0.500 0.500


Sm2HoAg: relaxed, GGA-PBE.

- Energy of formation: -0.108 eV per atom
- DOS(E_F): 5.95 states/eV/cell

a b c (Å): 3.626 3.626 8.906
angles (deg): 90.00 90.00 90.00
Fractional positions:
Ag1 0.500 0.500 0.000
Ho1 0.500 0.500 0.500
Sm1 0.000 0.000 0.781
Sm2 0.000 0.000 0.219


Ba2SmCuO5: relaxed, GGA-PBE.

- Energy relative to the elements, uncorrected: -209.4 kJ per mole of atoms
- DOS(E_F): 9.87 states/eV/cell

a b c (Å): 3.687 7.602 12.057
angles (deg): 90.00 90.00 104.03
Fractional positions:
Ba1 0.864 0.728 0.849
Ba2 0.104 0.208 0.673
Ba3 0.136 0.272 0.349
Ba4 0.896 0.792 0.173
Sm1 0.801 0.602 0.553
Sm2 0.199 0.398 0.053
Cu1 0.569 0.137 0.896
Cu2 0.431 0.863 0.396
O1 0.348 0.695 0.027
O2 0.692 0.384 0.931
O3 0.488 0.975 0.780
O4 0.288 0.576 0.678
O5 0.944 0.889 0.438
O6 0.652 0.305 0.527
O7 0.308 0.616 0.431
O8 0.512 0.025 0.280
O9 0.712 0.424 0.178
O10 0.056 0.111 0.938


HRuPbAu2: relaxed, GGA-PBE.

- DOS(E_F): 4.45 states/eV/cell
- E: -4.079 eV/atom

a b c (Å): 5.279 3.407 5.279
angles (deg): 90.00 90.00 90.00
Fractional positions:
Pb1 0.500 0.500 0.500
Ru1 0.000 0.000 0.000
Au1 0.000 0.000 0.500
Au2 0.500 0.000 0.000
H1 0.000 0.500 0.000


Pr8P6Cl: relaxed, GGA-PBE.

- Energy relative to the elements, uncorrected: -122.0 kJ per mole of atoms
- DOS(E_F): 10.64 states/eV/cell

a b c (Å): 4.309 11.072 11.072
angles (deg): 120.00 90.00 90.00
Fractional positions:
Pr1 0.745 0.964 0.330
Pr2 0.745 0.670 0.634
Pr3 0.745 0.366 0.036
Pr4 0.255 0.036 0.670
Pr5 0.255 0.330 0.366
Pr6 0.255 0.634 0.964
Pr7 0.747 0.333 0.667
Pr8 0.253 0.667 0.333
P1 0.754 0.664 0.141
P2 0.754 0.859 0.523
P3 0.754 0.477 0.336
P4 0.246 0.336 0.859
P5 0.246 0.141 0.477
P6 0.246 0.523 0.664
Cl1 0.500 0.000 0.000


LaZrCl: relaxed, GGA-PBE.

- Energy relative to the elements, uncorrected: -87.8 kJ per mole of atoms
- DOS(E_F): 10.06 states/eV/cell

a b c (Å): 3.966 4.021 21.735
angles (deg): 90.00 90.16 90.00
Fractional positions:
Cl1 0.706 0.000 0.518
Cl2 0.706 0.500 0.018
Cl3 0.205 0.000 0.906
Cl4 0.205 0.500 0.406
Zr1 0.711 0.000 0.650
Zr2 0.711 0.500 0.150
Zr3 0.211 0.000 0.202
Zr4 0.211 0.500 0.702
La1 0.206 0.000 0.044
La2 0.206 0.500 0.544
La3 0.703 0.000 0.805
La4 0.703 0.500 0.305


Pa2CrNiS5: relaxed, GGA-PBE.

- Energy relative to the elements, uncorrected: -115.7 kJ per mole of atoms
- DOS(E_F): 15.92 states/eV/cell

a b c (Å): 3.715 7.914 11.237
angles (deg): 90.00 90.00 103.58
Fractional positions:
Pa1 0.886 0.772 0.845
Pa2 0.122 0.243 0.701
Pa3 0.114 0.228 0.345
Pa4 0.878 0.757 0.201
Cr1 0.825 0.651 0.527
Cr2 0.175 0.349 0.027
Ni1 0.556 0.112 0.921
Ni2 0.444 0.888 0.421
S1 0.336 0.671 0.021
S2 0.695 0.390 0.865
S3 0.496 0.992 0.748
S4 0.306 0.611 0.678
S5 0.985 0.969 0.518
S6 0.664 0.329 0.521
S7 0.305 0.610 0.365
S8 0.504 0.008 0.248
S9 0.694 0.389 0.178
S10 0.015 0.031 0.018


AlPt2F: relaxed, GGA-PBE.

- Energy relative to the elements, uncorrected: -66.4 kJ per mole of atoms
- DOS(E_F): 4.72 states/eV/cell

a b c (Å): 8.140 8.140 6.117
angles (deg): 48.29 48.29 90.00
Fractional positions:
Al1 0.000 0.000 0.000
Al2 0.750 0.250 0.500
Pt1 0.709 0.125 0.250
Pt2 0.041 0.625 0.250
Pt3 0.375 0.291 0.750
Pt4 0.875 0.959 0.750
F1 0.500 0.500 0.000
F2 0.250 0.750 0.500


K2TaNi: relaxed, GGA-PBE.

- Energy of formation: 1.251 eV per atom
- DOS(E_F): 3.78 states/eV/cell

a b c (Å): 6.762 6.762 2.883
angles (deg): 78.33 78.33 129.62
Fractional positions:
K1 0.000 0.000 0.000
K2 0.500 0.500 0.000
Ni1 0.500 0.000 0.500
Ta1 0.000 0.500 0.500


CsSrSeBr2: relaxed, GGA-PBE.

- Energy relative to the elements, uncorrected: -143.9 kJ per mole of atoms
- DOS(E_F): 6.15 states/eV/cell

a b c (Å): 6.033 6.033 6.090
angles (deg): 90.00 90.00 90.00
Fractional positions:
Cs1 0.500 0.500 0.500
Sr1 0.000 0.000 0.000
Se1 0.000 0.000 0.500
Br1 0.000 0.500 0.000
Br2 0.500 0.000 0.000


ZrIr2C2: relaxed, GGA-PBE.

- Energy of formation: 0.899 eV per atom
- DOS(E_F): 5.76 states/eV/cell

a b c (Å): 7.105 7.105 3.232
angles (deg): 90.00 90.00 90.00
Fractional positions:
C1 0.279 0.779 0.500
C2 0.779 0.721 0.500
C3 0.721 0.221 0.500
C4 0.221 0.279 0.500
Ir1 0.376 0.876 0.000
Ir2 0.876 0.624 0.000
Ir3 0.624 0.124 0.000
Ir4 0.124 0.376 0.000
Zr1 0.000 0.000 0.000
Zr2 0.500 0.500 0.000


Nd2ZnGa3Pd4: relaxed, GGA-PBE.

- Energy of formation: -0.765 eV per atom
- DOS(E_F): 6.19 states/eV/cell

a b c (Å): 4.329 4.329 10.365
angles (deg): 90.00 90.00 90.00
Fractional positions:
Nd1 0.500 0.000 0.248
Nd2 0.000 0.500 0.752
Zn1 0.500 0.500 0.500
Ga1 0.000 0.000 0.500
Ga2 0.500 0.000 0.872
Ga3 0.000 0.500 0.128
Pd1 0.500 0.500 0.000
Pd2 0.000 0.000 0.000
Pd3 0.500 0.000 0.632
Pd4 0.000 0.500 0.368


CeDy2TmSe5: relaxed, GGA-PBE.

- Energy relative to the elements, uncorrected: -111.7 kJ per mole of atoms
- DOS(E_F): 12.51 states/eV/cell

a b c (Å): 5.094 5.094 10.998
angles (deg): 90.00 90.00 90.00
Fractional positions:
Ce1 0.000 0.000 0.000
Dy1 0.500 0.500 0.345
Dy2 0.500 0.500 0.655
Tm1 0.000 0.000 0.500
Se1 0.000 0.500 0.500
Se2 0.500 0.000 0.500
Se3 0.000 0.000 0.746
Se4 0.000 0.000 0.254
Se5 0.500 0.500 0.000


BaTl2Se: relaxed, GGA-PBE.

- Energy relative to the elements, uncorrected: -68.0 kJ per mole of atoms
- DOS(E_F): 2.28 states/eV/cell

a b c (Å): 4.613 4.609 6.543
angles (deg): 90.00 90.00 90.00
Fractional positions:
Ba1 0.500 0.000 0.500
Se1 0.000 0.500 0.500
Tl1 0.000 0.000 0.000
Tl2 0.500 0.500 0.000


Re2Sb2Rh: relaxed, GGA-PBE.

- Energy relative to the elements, uncorrected: 94.3 kJ per mole of atoms
- DOS(E_F): 5.68 states/eV/cell

a b c (Å): 4.216 4.216 6.464
angles (deg): 70.97 70.97 90.00
Fractional positions:
Re1 0.397 0.397 0.207
Re2 0.603 0.603 0.793
Rh1 0.000 0.000 0.000
Sb1 0.750 0.250 0.500
Sb2 0.250 0.750 0.500


Ce2PmPaAs5: relaxed, GGA-PBE.

- Energy of formation: -0.612 eV per atom
- DOS(E_F): 17.07 states/eV/cell

a b c (Å): 5.100 5.100 11.001
angles (deg): 90.00 90.00 90.00
Fractional positions:
Ce1 0.500 0.500 0.279
Ce2 0.500 0.500 0.721
Pm1 0.000 0.000 0.000
Pa1 0.000 0.000 0.500
As1 0.000 0.500 0.500
As2 0.500 0.000 0.500
As3 0.000 0.000 0.750
As4 0.000 0.000 0.250
As5 0.500 0.500 0.000


Sm4Dy5Sc: relaxed, GGA-PBE.

- Energy of formation: 0.223 eV per atom
- DOS(E_F): 13.61 states/eV/cell

a b c (Å): 5.829 8.052 8.052
angles (deg): 82.47 68.78 68.78
Fractional positions:
Sm1 0.445 0.322 0.678
Sm2 0.767 0.678 0.678
Sm3 0.123 0.322 0.322
Sm4 0.445 0.678 0.322
Dy1 0.776 0.373 0.000
Dy2 0.148 0.000 0.627
Dy3 0.776 0.000 0.373
Dy4 0.148 0.627 0.000
Dy5 0.676 0.000 0.000
Sc1 0.205 0.000 0.000